A relaxed SiRhAuS crystal, computed with PBE.

a = 3.696 Å, b = 3.839 Å, c = 5.538 Å
α = 84.77°, β = 85.01°, γ = 69.84°
Space group P1 (No. 1)
One atom of each set of equivalent atoms:
Si1 0.000 0.000 0.000 [1 per cell]
Rh1 0.341 0.374 0.085 [1 per cell]
Au1 0.681 0.728 0.386 [1 per cell]
S1 0.634 0.218 0.689 [1 per cell]

Polymorph energy (0 for the lowest one): 0.001 eV per atom

---

A relaxed AcInAsS crystal, computed with PBE.

a = 5.097 Å, b = 5.097 Å, c = 8.650 Å
α = 90.00°, β = 90.00°, γ = 90.00°
Space group P4/nmm (No. 129, origin choice 2)
One atom of each set of equivalent atoms:
Ac1 0.250 0.250 0.168 [2 per cell]
In1 0.250 0.750 0.500 [2 per cell]
As1 0.250 0.250 0.643 [2 per cell]
S1 0.250 0.750 0.000 [2 per cell]

Final energy: -39.69 eV/cell

---

A relaxed HgRh2Pb crystal, computed with PBE.

a = 3.174 Å, b = 4.337 Å, c = 5.572 Å
α = 90.00°, β = 90.00°, γ = 90.00°
Space group Pmm2 (No. 25)
One atom of each set of equivalent atoms:
Hg1 0.000 0.000 0.000 [1 per cell]
Rh1 0.000 0.000 0.515 [1 per cell]
Rh2 0.500 0.500 0.872 [1 per cell]
Pb1 0.500 0.500 0.375 [1 per cell]

Energy relative to the elements: 21 kJ/mol of atoms